# 1
The following is a DFT calculation (GGA-PBE) of a relaxed ZrPt4Cl crystal.

Unit cell a=5.330 b=5.330 c=5.330 alpha=60.00 beta=60.00 gamma=60.00
Sites, in units of the cell vectors:
Zr  0.750  0.750  0.750
Pt  0.874  0.375  0.375
Pt  0.375  0.375  0.874
Pt  0.375  0.874  0.375
Pt  0.375  0.375  0.375
Cl  0.000  0.000  0.000

Results
For the magnetization, the calculation gives 0.00 μB per cell. As for the density of states at the Fermi level: 0.243 states/eV/atom.

# 2
The following is a DFT calculation (GGA-PBE) of a relaxed ZrPtCl crystal.

Unit cell a=3.609 b=3.359 c=11.428 alpha=90.00 beta=90.16 gamma=90.00
Sites, in units of the cell vectors:
Pt  0.749  0.250  0.927
Pt  0.251  0.750  0.073
Zr  0.752  0.250  0.184
Zr  0.248  0.750  0.816
Cl  0.247  0.250  0.644
Cl  0.753  0.750  0.356

Results
For the magnetization, the calculation gives 0.00 μB per cell. As for the density of states at the Fermi level: 0.615 states/eV/atom. The value obtained for the distance to the lowest polymorph of the same formula is 0.0 kJ per mole of atoms.

# 3
The following is a DFT calculation (GGA-PBE) of a relaxed ZrPtCl crystal.

Unit cell a=3.270 b=4.495 c=10.180 alpha=90.00 beta=98.67 gamma=90.00
Sites, in units of the cell vectors:
Zr  0.428  0.250  0.847
Zr  0.572  0.750  0.153
Pt  0.038  0.250  0.082
Pt  0.962  0.750  0.918
Cl  0.835  0.250  0.649
Cl  0.165  0.750  0.351

Results
For the magnetization, the calculation gives 0.00 μB per cell. As for the density of states at the Fermi level: 0.511 states/eV/atom. The value obtained for the distance to the lowest polymorph of the same formula is 7.0 kJ per mole of atoms.

# 4
The following is a DFT calculation (GGA-PBE) of a relaxed ZrPtCl crystal.

Unit cell a=7.101 b=7.101 c=3.121 alpha=77.31 beta=77.30 gamma=25.39
Sites, in units of the cell vectors:
Cl  0.959  0.959  0.041
Pt  0.708  0.708  0.292
Zr  0.334  0.334  0.666

Results
For the magnetization, the calculation gives 0.00 μB per cell. As for the density of states at the Fermi level: 0.632 states/eV/atom. The value obtained for the distance to the lowest polymorph of the same formula is 37.4 kJ per mole of atoms.

# 5
The following is a DFT calculation (GGA-PBE) of a relaxed ZrPtCl crystal.

Unit cell a=10.889 b=3.495 c=9.061 alpha=90.00 beta=113.87 gamma=90.00
Sites, in units of the cell vectors:
Zr  0.157  0.000  0.005
Zr  0.843  0.000  0.995
Zr  0.157  0.500  0.505
Zr  0.843  0.500  0.495
Pt  0.051  0.000  0.667
Pt  0.949  0.000  0.333
Pt  0.051  0.500  0.167
Pt  0.949  0.500  0.833
Cl  0.347  0.000  0.563
Cl  0.653  0.000  0.437
Cl  0.347  0.500  0.063
Cl  0.653  0.500  0.937

Results
For the magnetization, the calculation gives 0.00 μB per cell. As for the density of states at the Fermi level: 0.328 states/eV/atom. The value obtained for the distance to the lowest polymorph of the same formula is 3.9 kJ per mole of atoms.

# 6
The following is a DFT calculation (GGA-PBE) of a relaxed PuCl3 crystal.

Unit cell a=4.231 b=7.457 c=7.457 alpha=120.00 beta=90.00 gamma=90.00
Sites, in units of the cell vectors:
Pu  0.750  0.667  0.333
Pu  0.250  0.333  0.667
Cl  0.750  0.086  0.391
Cl  0.250  0.696  0.086
Cl  0.250  0.914  0.609
Cl  0.750  0.304  0.914
Cl  0.750  0.609  0.696
Cl  0.250  0.391  0.304

Results
For the magnetization, the calculation gives 10.00 μB per cell. As for the density of states at the Fermi level: 2.943 states/eV/atom.

no.,density (g/cm³),formation energy (no corrections) (eV/f.u.)
1,14.06,-2.2
2,7.71,-3.8
3,7.22,-3.6
4,8.13,-2.7
5,6.78,-3.7
6,5.71,-7.6